No. 1
# Na3CaAl

An optimized crystal structure of Na3CaAl (PBE-GGA, the Alexandria database).

```
data_Na3CaAl
_symmetry_space_group_name_H-M 'P m -3 m'
_symmetry_Int_Tables_number 221
_symmetry_space_group_name_Hall '-P 4 2 3'
_cell_length_a 5.759
_cell_length_b 5.759
_cell_length_c 5.759
_cell_angle_alpha 90.00
_cell_angle_beta 90.00
_cell_angle_gamma 90.00
loop_
_atom_site_label
_atom_site_fract_x
_atom_site_fract_y
_atom_site_fract_z
_atom_site_occupancy
Na1 0.000 0.000 0.500 1
Ca1 0.500 0.500 0.500 1
Al1 0.000 0.000 0.000 1
```

Results
Magnetic moment   0.000 μB per atom
Formation energy   0.35 eV/atom
Energy above the most stable polymorph in this dataset   0.000 eV per atom


No. 2
# Ac2NdSmSe4

An optimized crystal structure of Ac2NdSmSe4 (PBE-GGA, the Alexandria database).

```
data_Ac2NdSmSe4
_symmetry_space_group_name_H-M 'P 1 2/m 1'
_symmetry_Int_Tables_number 10
_cell_length_a 7.453
_cell_length_b 4.267
_cell_length_c 7.638
_cell_angle_alpha 90.00
_cell_angle_beta 108.74
_cell_angle_gamma 90.00
loop_
_symmetry_equiv_pos_as_xyz
'x,y,z'
'-x,-y,-z'
'-x,y,-z'
'x,-y,z'
loop_
_atom_site_label
_atom_site_fract_x
_atom_site_fract_y
_atom_site_fract_z
_atom_site_occupancy
Ac1 0.000 0.000 0.000 1
Ac2 0.500 0.500 0.000 1
Nd1 0.000 0.500 0.500 1
Sm1 0.500 0.000 0.500 1
Se1 0.247 0.000 0.733 1
Se2 0.259 0.500 0.269 1
```

Results
Formation energy (no corrections)   -1.839 eV/atom
Magnetic moment   0.000 μB per atom